No. 1
A relaxed structure of La2Ce3NdSb6, computed with GGA-PBE.

Lattice parameters (Å, degrees): 7.8769 13.6415 7.8818 90.00 109.47 90.00
With the nearest neighbours (Å) after each atom.
Space group C2/m (No. 12)
Asymmetric unit:
La1 0.0000 0.1662 0.0000 (multiplicity 4)  6 Sb 3.25
Ce1 0.0000 0.0000 0.5000 (multiplicity 2)  6 Sb 3.18-3.20
Ce2 0.0000 0.3324 0.5000 (multiplicity 4)  6 Sb 3.18-3.20
Nd1 0.0000 0.5000 0.0000 (multiplicity 2)  6 Sb 3.23
Sb1 0.2449 0.5000 0.7429 (multiplicity 4)  3 Ce 3.19-3.20, 1 Nd 3.23, 2 La 3.25
Sb2 0.2494 0.1654 0.7442 (multiplicity 8)  3 Ce 3.18-3.20, 1 Nd 3.23, 2 La 3.25

Energy relative to the elements, uncorrected in kcal/mol of atoms: -26.43
Magnetization in Bohr magnetons per cell: 4.757

---

No. 2
A relaxed structure of HfAuSN2, computed with GGA-PBE.

Lattice parameters (Å, degrees): 4.0414 4.0414 4.6725 90.00 90.00 90.00
With the nearest neighbours (Å) after each atom.
Space group P4/mmm (No. 123)
Asymmetric unit:
Hf1 0.0000 0.0000 0.0000 (multiplicity 1)  4 S 2.86, 8 N 3.09
Au1 0.5000 0.5000 0.5000 (multiplicity 1)  4 N 2.02
S1 0.5000 0.5000 0.0000 (multiplicity 1)  2 Au 2.34
N1 0.0000 0.5000 0.5000 (multiplicity 2)  2 Au 2.02

Energy relative to the elements, uncorrected in kcal/mol of atoms: 29.13
Magnetization in Bohr magnetons per cell: 0.227

---

Record-wise calculated density values, in g cm⁻³: 6.542; 9.477